1.
# PBE SmTiSnHg, relaxed
# - Fermi-level density of states: 1.14 states/eV per atom
# - Space-group type: No. 216
# - Magnetization: 1.877 μB per formula unit
# - ΔH_f (0 K): -255 meV per atom
data_SmTiSnHg
_chemical_formula_sum 'Sm1 Ti1 Sn1 Hg1'
_cell_length_a 5.128
_cell_length_b 5.128
_cell_length_c 5.128
_cell_angle_alpha 60.00
_cell_angle_beta 60.00
_cell_angle_gamma 60.00
_symmetry_space_group_name_H-M 'P 1'
_symmetry_Int_Tables_number 1
loop_
_symmetry_equiv_pos_as_xyz
'x,y,z'
loop_
_atom_site_label
_atom_site_type_symbol
_atom_site_fract_x
_atom_site_fract_y
_atom_site_fract_z
Sm1 Sm 0.000 0.000 0.000
Ti1 Ti 0.500 0.500 0.500
Sn1 Sn 0.750 0.750 0.750
Hg1 Hg 0.250 0.250 0.250



2.
# PBE SmTlSnHg, relaxed
# - Fermi-level density of states: 0.67 states/eV per atom
# - Space-group type: No. 216
# - Magnetization: 0.000 μB per formula unit
# - ΔH_f (0 K): -234 meV per atom
data_SmTlSnHg
_chemical_formula_sum 'Sm1 Tl1 Sn1 Hg1'
_cell_length_a 5.416
_cell_length_b 5.416
_cell_length_c 5.416
_cell_angle_alpha 60.00
_cell_angle_beta 60.00
_cell_angle_gamma 60.00
_symmetry_space_group_name_H-M 'P 1'
_symmetry_Int_Tables_number 1
loop_
_symmetry_equiv_pos_as_xyz
'x,y,z'
loop_
_atom_site_label
_atom_site_type_symbol
_atom_site_fract_x
_atom_site_fract_y
_atom_site_fract_z
Sm1 Sm 0.000 0.000 0.000
Tl1 Tl 0.500 0.500 0.500
Sn1 Sn 0.250 0.250 0.250
Hg1 Hg 0.750 0.750 0.750



3.
# PBE SmTlSnHg, relaxed
# - Fermi-level density of states: 0.43 states/eV per atom
# - Space-group type: No. 47
# - Magnetization: 0.000 μB per formula unit
# - ΔH_f (0 K): -411 meV per atom
data_SmTlSnHg
_chemical_formula_sum 'Sm1 Tl1 Sn1 Hg1'
_cell_length_a 4.621
_cell_length_b 4.689
_cell_length_c 4.857
_cell_angle_alpha 90.00
_cell_angle_beta 90.00
_cell_angle_gamma 90.00
_symmetry_space_group_name_H-M 'P 1'
_symmetry_Int_Tables_number 1
loop_
_symmetry_equiv_pos_as_xyz
'x,y,z'
loop_
_atom_site_label
_atom_site_type_symbol
_atom_site_fract_x
_atom_site_fract_y
_atom_site_fract_z
Sm1 Sm 0.000 0.000 0.000
Tl1 Tl 0.500 0.000 0.500
Sn1 Sn 0.500 0.500 0.000
Hg1 Hg 0.000 0.500 0.500



4.
# PBE SmTmSnHg, relaxed
# - Fermi-level density of states: 0.81 states/eV per atom
# - Space-group type: No. 216
# - Magnetization: 0.000 μB per formula unit
# - ΔH_f (0 K): -551 meV per atom
data_SmTmSnHg
_chemical_formula_sum 'Sm1 Tm1 Sn1 Hg1'
_cell_length_a 5.305
_cell_length_b 5.305
_cell_length_c 5.305
_cell_angle_alpha 60.00
_cell_angle_beta 60.00
_cell_angle_gamma 60.00
_symmetry_space_group_name_H-M 'P 1'
_symmetry_Int_Tables_number 1
loop_
_symmetry_equiv_pos_as_xyz
'x,y,z'
loop_
_atom_site_label
_atom_site_type_symbol
_atom_site_fract_x
_atom_site_fract_y
_atom_site_fract_z
Sm1 Sm 0.000 0.000 0.000
Tm1 Tm 0.500 0.500 0.500
Sn1 Sn 0.250 0.250 0.250
Hg1 Hg 0.750 0.750 0.750



5.
# PBE SmTmSnHg, relaxed
# - Fermi-level density of states: 0.63 states/eV per atom
# - Space-group type: No. 99
# - Magnetization: 0.000 μB per formula unit
# - ΔH_f (0 K): -552 meV per atom
data_SmTmSnHg
_chemical_formula_sum 'Sm1 Tm1 Sn1 Hg1'
_cell_length_a 3.800
_cell_length_b 3.800
_cell_length_c 7.349
_cell_angle_alpha 90.00
_cell_angle_beta 90.00
_cell_angle_gamma 90.00
_symmetry_space_group_name_H-M 'P 1'
_symmetry_Int_Tables_number 1
loop_
_symmetry_equiv_pos_as_xyz
'x,y,z'
loop_
_atom_site_label
_atom_site_type_symbol
_atom_site_fract_x
_atom_site_fract_y
_atom_site_fract_z
Sm1 Sm 0.000 0.000 0.000
Tm1 Tm 0.000 0.000 0.507
Sn1 Sn 0.500 0.500 0.264
Hg1 Hg 0.500 0.500 0.736



6.
# PBE Sm2YSn2Hg2, relaxed
# - Fermi-level density of states: 0.81 states/eV per atom
# - Space-group type: No. 166
# - Magnetization: 0.000 μB per formula unit
# - ΔH_f (0 K): -329 meV per atom
data_Sm2YSn2Hg2
_chemical_formula_sum 'Sm2 Y1 Sn2 Hg2'
_cell_length_a 9.547
_cell_length_b 9.547
_cell_length_c 9.547
_cell_angle_alpha 30.28
_cell_angle_beta 30.28
_cell_angle_gamma 30.28
_symmetry_space_group_name_H-M 'P 1'
_symmetry_Int_Tables_number 1
loop_
_symmetry_equiv_pos_as_xyz
'x,y,z'
loop_
_atom_site_label
_atom_site_type_symbol
_atom_site_fract_x
_atom_site_fract_y
_atom_site_fract_z
Sm1 Sm 0.130 0.130 0.130
Sm2 Sm 0.870 0.870 0.870
Y1 Y 0.000 0.000 0.000
Sn1 Sn 0.273 0.273 0.273
Sn2 Sn 0.727 0.727 0.727
Hg1 Hg 0.428 0.428 0.428
Hg2 Hg 0.572 0.572 0.572



7.
# PBE SmZnSnHg, relaxed
# - Fermi-level density of states: 0.89 states/eV per atom
# - Space-group type: No. 216
# - Magnetization: 0.000 μB per formula unit
# - ΔH_f (0 K): -256 meV per atom
data_SmZnSnHg
_chemical_formula_sum 'Sm1 Zn1 Sn1 Hg1'
_cell_length_a 5.147
_cell_length_b 5.147
_cell_length_c 5.147
_cell_angle_alpha 60.00
_cell_angle_beta 60.00
_cell_angle_gamma 60.00
_symmetry_space_group_name_H-M 'P 1'
_symmetry_Int_Tables_number 1
loop_
_symmetry_equiv_pos_as_xyz
'x,y,z'
loop_
_atom_site_label
_atom_site_type_symbol
_atom_site_fract_x
_atom_site_fract_y
_atom_site_fract_z
Sm1 Sm 0.000 0.000 0.000
Zn1 Zn 0.750 0.750 0.750
Sn1 Sn 0.500 0.500 0.500
Hg1 Hg 0.250 0.250 0.250



8.
# PBE SmZrSnHg, relaxed
# - Fermi-level density of states: 1.07 states/eV per atom
# - Space-group type: No. 216
# - Magnetization: 0.531 μB per formula unit
# - ΔH_f (0 K): -349 meV per atom
data_SmZrSnHg
_chemical_formula_sum 'Sm1 Zr1 Sn1 Hg1'
_cell_length_a 5.195
_cell_length_b 5.195
_cell_length_c 5.195
_cell_angle_alpha 60.00
_cell_angle_beta 60.00
_cell_angle_gamma 60.00
_symmetry_space_group_name_H-M 'P 1'
_symmetry_Int_Tables_number 1
loop_
_symmetry_equiv_pos_as_xyz
'x,y,z'
loop_
_atom_site_label
_atom_site_type_symbol
_atom_site_fract_x
_atom_site_fract_y
_atom_site_fract_z
Sm1 Sm 0.000 0.000 0.000
Zr1 Zr 0.500 0.500 0.500
Sn1 Sn 0.750 0.750 0.750
Hg1 Hg 0.250 0.250 0.250



9.
# PBE SrSmHg6, relaxed
# - Fermi-level density of states: 0.76 states/eV per atom
# - Space-group type: No. 38
# - Magnetization: 0.000 μB per formula unit
# - ΔH_f (0 K): -384 meV per atom
data_SrSmHg6
_chemical_formula_sum 'Sr1 Sm1 Hg6'
_cell_length_a 5.197
_cell_length_b 6.822
_cell_length_c 6.822
_cell_angle_alpha 60.19
_cell_angle_beta 90.00
_cell_angle_gamma 90.00
_symmetry_space_group_name_H-M 'P 1'
_symmetry_Int_Tables_number 1
loop_
_symmetry_equiv_pos_as_xyz
'x,y,z'
loop_
_atom_site_label
_atom_site_type_symbol
_atom_site_fract_x
_atom_site_fract_y
_atom_site_fract_z
Sr1 Sr 0.000 0.000 0.000
Sm1 Sm 0.500 0.670 0.670
Hg1 Hg 0.000 0.003 0.499
Hg2 Hg 0.000 0.499 0.003
Hg3 Hg 0.000 0.503 0.503
Hg4 Hg 0.500 0.176 0.176
Hg5 Hg 0.500 0.180 0.649
Hg6 Hg 0.500 0.649 0.180



10.
# PBE Sr4SmHg5, relaxed
# - Fermi-level density of states: 0.72 states/eV per atom
# - Space-group type: No. 123
# - Magnetization: 0.000 μB per formula unit
# - ΔH_f (0 K): -519 meV per atom
data_Sr4SmHg5
_chemical_formula_sum 'Sr4 Sm1 Hg5'
_cell_length_a 3.949
_cell_length_b 3.949
_cell_length_c 19.849
_cell_angle_alpha 90.00
_cell_angle_beta 90.00
_cell_angle_gamma 90.00
_symmetry_space_group_name_H-M 'P 1'
_symmetry_Int_Tables_number 1
loop_
_symmetry_equiv_pos_as_xyz
'x,y,z'
loop_
_atom_site_label
_atom_site_type_symbol
_atom_site_fract_x
_atom_site_fract_y
_atom_site_fract_z
Sr1 Sr 0.000 0.000 0.102
Sr2 Sr 0.000 0.000 0.307
Sr3 Sr 0.000 0.000 0.693
Sr4 Sr 0.000 0.000 0.898
Sm1 Sm 0.000 0.000 0.500
Hg1 Hg 0.500 0.500 0.000
Hg2 Hg 0.500 0.500 0.204
Hg3 Hg 0.500 0.500 0.412
Hg4 Hg 0.500 0.500 0.588
Hg5 Hg 0.500 0.500 0.796



11.
# PBE Sr2SmHg3, relaxed
# - Fermi-level density of states: 0.83 states/eV per atom
# - Space-group type: No. 65
# - Magnetization: 0.000 μB per formula unit
# - ΔH_f (0 K): -506 meV per atom
data_Sr2SmHg3
_chemical_formula_sum 'Sr4 Sm2 Hg6'
_cell_length_a 8.739
_cell_length_b 8.739
_cell_length_c 7.921
_cell_angle_alpha 90.00
_cell_angle_beta 90.00
_cell_angle_gamma 143.09
_symmetry_space_group_name_H-M 'P 1'
_symmetry_Int_Tables_number 1
loop_
_symmetry_equiv_pos_as_xyz
'x,y,z'
loop_
_atom_site_label
_atom_site_type_symbol
_atom_site_fract_x
_atom_site_fract_y
_atom_site_fract_z
Sr1 Sr 0.000 0.000 0.000
Sr2 Sr 0.000 0.000 0.500
Sr3 Sr 0.334 0.666 0.000
Sr4 Sr 0.666 0.334 0.000
Sm1 Sm 0.334 0.666 0.500
Sm2 Sm 0.666 0.334 0.500
Hg1 Hg 0.172 0.828 0.271
Hg2 Hg 0.172 0.828 0.729
Hg3 Hg 0.500 0.500 0.264
Hg4 Hg 0.500 0.500 0.736
Hg5 Hg 0.828 0.172 0.271
Hg6 Hg 0.828 0.172 0.729



12.
# PBE SrSm2Hg6, relaxed
# - Fermi-level density of states: 0.70 states/eV per atom
# - Space-group type: No. 191
# - Magnetization: 0.001 μB per formula unit
# - ΔH_f (0 K): -423 meV per atom
data_SrSm2Hg6
_chemical_formula_sum 'Sr1 Sm2 Hg6'
_cell_length_a 8.769
_cell_length_b 8.769
_cell_length_c 3.541
_cell_angle_alpha 90.00
_cell_angle_beta 90.00
_cell_angle_gamma 120.00
_symmetry_space_group_name_H-M 'P 1'
_symmetry_Int_Tables_number 1
loop_
_symmetry_equiv_pos_as_xyz
'x,y,z'
loop_
_atom_site_label
_atom_site_type_symbol
_atom_site_fract_x
_atom_site_fract_y
_atom_site_fract_z
Sr1 Sr 0.000 0.000 0.000
Sm1 Sm 0.333 0.667 0.000
Sm2 Sm 0.667 0.333 0.000
Hg1 Hg 0.000 0.335 0.500
Hg2 Hg 0.000 0.665 0.500
Hg3 Hg 0.335 0.000 0.500
Hg4 Hg 0.335 0.335 0.500
Hg5 Hg 0.665 0.000 0.500
Hg6 Hg 0.665 0.665 0.500